# Ac8Zn2Au | Alexandria via LeMat-Bulk | PBE | relaxed
data_Ac8Zn2Au
_symmetry_space_group_name_H-M 'P 1'
_symmetry_Int_Tables_number 1
_cell_length_a 10.337
_cell_length_b 10.337
_cell_length_c 7.461
_cell_angle_alpha 102.20
_cell_angle_beta 102.20
_cell_angle_gamma 31.21
loop_
_symmetry_equiv_pos_as_xyz
'x,y,z'
loop_
_atom_site_label
_atom_site_fract_x
_atom_site_fract_y
_atom_site_fract_z
Ac1 0.028 0.028 0.275
Ac2 0.203 0.203 0.827
Ac3 0.338 0.338 0.532
Ac4 0.409 0.409 0.050
Ac5 0.591 0.591 0.950
Ac6 0.662 0.662 0.468
Ac7 0.797 0.797 0.173
Ac8 0.972 0.972 0.725
Zn1 0.189 0.189 0.242
Zn2 0.811 0.811 0.758
Au1 0.500 0.500 0.500
# **SG**: C2/m (12)
# **Density of states at the Fermi level**: 1.012 states/eV per atom
# **Total DFT energy (no corrections)**: -3.695 eV per atom